Crystalline SrYRu at its relaxed geometry. Source: the Alexandria database, functional GGA-PBE.

Lattice parameters (Å, degrees): 3.5569 3.5569 13.3640 90.00 90.00 90.00
Space group I4mm (No. 107)
Unique sites:
1 Sr 0.0000 0.0000 0.0000
2 Y 0.0000 0.0000 0.2525
3 Ru 0.0000 0.0000 0.6496

- offset from the most stable computed form (eV/f.u.) = 0.00
- magnetic moment (μB/atom) = 0.000
- calculated formation energy (eV per atom) = 0.019